Record 1
Below is crystalline SrAg2GeSe2S2 at its relaxed geometry, with properties calculated at the PBE-GGA level. Values from VASP.

Values from the calculation:
E_tot ... -0.1507 hartree per atom
Symmetry ... C2 (5)

The structure in Quantum ESPRESSO input format:
```
&SYSTEM
  ibrav = 0, nat = 8, ntyp = 5
/
ATOMIC_SPECIES
Ag 107.87 Ag.upf
Ge 72.64 Ge.upf
S 32.06 S.upf
Se 78.96 Se.upf
Sr 87.62 Sr.upf
CELL_PARAMETERS angstrom
5.255 -3.590 0.000
5.255 3.590 0.000
-4.627 0.000 5.250
ATOMIC_POSITIONS crystal
Ag 0.806 0.801 0.289
Ag 0.199 0.194 0.711
Ge 0.989 0.011 0.000
S 0.644 0.019 0.019
S 0.981 0.356 0.981
Se 0.358 0.979 0.364
Se 0.021 0.642 0.636
Sr 0.501 0.499 0.500
```

Record 2
Below is crystalline TbAgGeSeS2 at its relaxed geometry, with properties calculated at the PBE-GGA level. Values from VASP.

Values from the calculation:
E_tot ... -0.1749 hartree per atom
M_tot ... 0.0 μB per cell
Symmetry ... Cmcm (63)

The structure in Quantum ESPRESSO input format:
```
&SYSTEM
  ibrav = 0, nat = 12, ntyp = 5
/
ATOMIC_SPECIES
Ag 107.87 Ag.upf
Ge 72.64 Ge.upf
S 32.06 S.upf
Se 78.96 Se.upf
Tb 158.93 Tb.upf
CELL_PARAMETERS angstrom
1.951 -6.415 0.000
1.951 6.415 0.000
0.000 0.000 10.844
ATOMIC_POSITIONS crystal
Ag 0.474 0.526 0.250
Ag 0.526 0.474 0.750
Ge 0.775 0.225 0.250
Ge 0.225 0.775 0.750
S 0.359 0.641 0.067
S 0.359 0.641 0.433
S 0.641 0.359 0.567
S 0.641 0.359 0.933
Se 0.117 0.882 0.250
Se 0.882 0.117 0.750
Tb 0.000 0.000 0.000
Tb 0.000 0.000 0.500
```

Record 3
Below is crystalline TlAgGeSe2S at its relaxed geometry, with properties calculated at the PBE-GGA level. Values from VASP.

Values from the calculation:
E_tot ... -0.1328 hartree per atom
Symmetry ... Cmcm (63)

The structure in Quantum ESPRESSO input format:
```
&SYSTEM
  ibrav = 0, nat = 12, ntyp = 5
/
ATOMIC_SPECIES
Ag 107.87 Ag.upf
Ge 72.64 Ge.upf
S 32.06 S.upf
Se 78.96 Se.upf
Tl 204.38 Tl.upf
CELL_PARAMETERS angstrom
-5.656 -0.561 3.821
5.481 -3.093 -2.701
5.819 2.474 8.978
ATOMIC_POSITIONS crystal
Ag 0.385 0.615 0.250
Ag 0.615 0.385 0.750
Ge 0.000 0.000 0.000
Ge 0.000 0.000 0.500
S 0.027 0.973 0.250
S 0.973 0.027 0.750
Se 0.360 0.640 0.019
Se 0.360 0.640 0.481
Se 0.640 0.360 0.519
Se 0.640 0.360 0.981
Tl 0.698 0.302 0.250
Tl 0.302 0.698 0.750
```

Record 4
Below is crystalline TmAgGeSeS2 at its relaxed geometry, with properties calculated at the PBE-GGA level. Values from VASP.

Values from the calculation:
E_tot ... -0.1734 hartree per atom
M_tot ... 0.0 μB per cell
Symmetry ... Cmcm (63)

The structure in Quantum ESPRESSO input format:
```
&SYSTEM
  ibrav = 0, nat = 12, ntyp = 5
/
ATOMIC_SPECIES
Ag 107.87 Ag.upf
Ge 72.64 Ge.upf
S 32.06 S.upf
Se 78.96 Se.upf
Tm 168.93 Tm.upf
CELL_PARAMETERS angstrom
-5.769 1.041 3.222
5.707 -3.482 -0.225
4.828 7.512 6.215
ATOMIC_POSITIONS crystal
Ag 0.445 0.555 0.250
Ag 0.555 0.445 0.750
Ge 0.751 0.249 0.250
Ge 0.249 0.751 0.750
S 0.360 0.640 0.051
S 0.360 0.640 0.449
S 0.640 0.360 0.551
S 0.640 0.360 0.949
Se 0.105 0.895 0.250
Se 0.895 0.105 0.750
Tm 0.000 0.000 0.000
Tm 0.000 0.000 0.500
```

Record 5
Below is crystalline TmAgGeSe2S at its relaxed geometry, with properties calculated at the PBE-GGA level. Values from VASP.

Values from the calculation:
E_tot ... -0.1685 hartree per atom
M_tot ... 0.0 μB per cell
Symmetry ... Cmcm (63)

The structure in Quantum ESPRESSO input format:
```
&SYSTEM
  ibrav = 0, nat = 12, ntyp = 5
/
ATOMIC_SPECIES
Ag 107.87 Ag.upf
Ge 72.64 Ge.upf
S 32.06 S.upf
Se 78.96 Se.upf
Tm 168.93 Tm.upf
CELL_PARAMETERS angstrom
1.999 -6.578 0.000
1.999 6.578 0.000
0.000 0.000 10.214
ATOMIC_POSITIONS crystal
Ag 0.028 0.972 0.250
Ag 0.972 0.028 0.750
Ge 0.764 0.236 0.250
Ge 0.236 0.764 0.750
S 0.402 0.598 0.250
S 0.598 0.402 0.750
Se 0.150 0.850 0.053
Se 0.150 0.850 0.447
Se 0.850 0.150 0.553
Se 0.850 0.150 0.947
Tm 0.500 0.500 0.000
Tm 0.500 0.500 0.500
```

Record 6
Below is crystalline YAgGeSeS2 at its relaxed geometry, with properties calculated at the PBE-GGA level. Values from VASP.

Values from the calculation:
E_tot ... -0.1862 hartree per atom
M_tot ... 0.0 μB per cell
Symmetry ... Cmcm (63)

The structure in Quantum ESPRESSO input format:
```
&SYSTEM
  ibrav = 0, nat = 12, ntyp = 5
/
ATOMIC_SPECIES
Ag 107.87 Ag.upf
Ge 72.64 Ge.upf
S 32.06 S.upf
Se 78.96 Se.upf
Y 88.91 Y.upf
CELL_PARAMETERS angstrom
1.945 -6.407 0.000
1.945 6.407 0.000
0.000 0.000 10.862
ATOMIC_POSITIONS crystal
Ag 0.027 0.973 0.250
Ag 0.973 0.027 0.750
Ge 0.727 0.273 0.250
Ge 0.273 0.727 0.750
S 0.140 0.860 0.065
S 0.140 0.860 0.435
S 0.860 0.140 0.565
S 0.860 0.140 0.935
Se 0.382 0.618 0.250
Se 0.618 0.382 0.750
Y 0.500 0.500 0.000
Y 0.500 0.500 0.500
```

Record 7
Below is crystalline SmAgGeTe2S at its relaxed geometry, with properties calculated at the PBE-GGA level. Values from VASP.

Values from the calculation:
E_tot ... -0.1604 hartree per atom
M_tot ... 0.0 μB per cell
Symmetry ... Cmcm (63)

The structure in Quantum ESPRESSO input format:
```
&SYSTEM
  ibrav = 0, nat = 12, ntyp = 5
/
ATOMIC_SPECIES
Ag 107.87 Ag.upf
Ge 72.64 Ge.upf
S 32.06 S.upf
Sm 150.36 Sm.upf
Te 127.60 Te.upf
CELL_PARAMETERS angstrom
2.116 -7.299 0.000
2.116 7.299 0.000
0.000 0.000 10.303
ATOMIC_POSITIONS crystal
Ag 0.015 0.985 0.250
Ag 0.985 0.015 0.750
Ge 0.733 0.267 0.250
Ge 0.267 0.733 0.750
S 0.419 0.581 0.250
S 0.581 0.419 0.750
Sm 0.500 0.500 0.000
Sm 0.500 0.500 0.500
Te 0.157 0.843 0.062
Te 0.157 0.843 0.438
Te 0.843 0.157 0.562
Te 0.843 0.157 0.938
```

Record 8
Below is crystalline Ag2SnGeS4 at its relaxed geometry, with properties calculated at the PBE-GGA level. Values from VASP.

Values from the calculation:
E_tot ... -0.1513 hartree per atom
Symmetry ... Ama2 (40)

The structure in Quantum ESPRESSO input format:
```
&SYSTEM
  ibrav = 0, nat = 16, ntyp = 4
/
ATOMIC_SPECIES
Ag 107.87 Ag.upf
Ge 72.64 Ge.upf
S 32.06 S.upf
Sn 118.71 Sn.upf
CELL_PARAMETERS angstrom
-6.147 -7.372 -3.197
2.474 -3.915 4.271
-4.954 3.127 2.316
ATOMIC_POSITIONS crystal
Ag 0.092 0.576 0.332
Ag 0.408 0.576 0.332
Ag 0.592 0.332 0.576
Ag 0.908 0.332 0.576
Ge 0.750 0.732 0.342
Ge 0.250 0.342 0.732
S 0.750 0.361 0.288
S 0.250 0.288 0.361
S 0.563 0.903 0.526
S 0.937 0.903 0.526
S 0.250 0.997 0.757
S 0.063 0.526 0.903
S 0.437 0.526 0.903
S 0.750 0.757 0.997
Sn 0.000 0.970 0.970
Sn 0.500 0.970 0.970
```